Entry 1:
Here is a relaxed Ag3CBr crystal from the Alexandria database. Energies are from GGA-PBE.

Cell: 4.488 4.488 4.488 Å, 90.00 90.00 90.00°
Element x y z (fractional)
Ag 0.000 0.500 0.000
Ag 0.000 0.000 0.500
Ag 0.500 0.000 0.000
C 0.000 0.000 0.000
Br 0.500 0.500 0.500

DFT total energy in eV per cell: -15.238
Formation energy (no corrections) in eV per atom: 0.8426
Calculated density in g/cm3: 7.6
Space-group type: No. 221
E above lowest polymorph in meV/atom: 0

---

Entry 2:
Here is a relaxed AgCBr3 crystal from the Alexandria database. Energies are from GGA-PBE.

Cell: 4.818 4.818 4.818 Å, 90.00 90.00 90.00°
Element x y z (fractional)
Br 0.500 0.000 0.000
Br 0.000 0.000 0.500
Br 0.000 0.500 0.000
Ag 0.500 0.500 0.500
C 0.000 0.000 0.000

DFT total energy in eV per cell: -12.218
Formation energy (no corrections) in eV per atom: 0.9751
Calculated density in g/cm3: 5.3
Space-group type: No. 221
E above lowest polymorph in meV/atom: 0

---

Entry 3:
Here is a relaxed AgC2Br crystal from the Alexandria database. Energies are from GGA-PBE.

Cell: 4.274 4.274 4.274 Å, 60.00 60.00 60.00°
Element x y z (fractional)
Br 0.000 0.000 0.000
C 0.750 0.750 0.750
C 0.250 0.250 0.250
Ag 0.500 0.500 0.500

DFT total energy in eV per cell: -11.059
Formation energy (no corrections) in eV per atom: 2.9781
Calculated density in g/cm3: 6.4
Space-group type: No. 225
E above lowest polymorph in meV/atom: 543

---

Entry 4:
Here is a relaxed AgCBr3 crystal from the Alexandria database. Energies are from GGA-PBE.

Cell: 5.271 5.271 5.271 Å, 90.00 90.00 90.00°
Last column: magnetic moment on the atom in μB.
Element x y z (fractional)
Ag 0.000 0.000 0.000  -0.02
Br 0.500 0.000 0.000  -0.10
Br 0.000 0.500 0.000  -0.10
Br 0.000 0.000 0.500  -0.10
C 0.500 0.500 0.500  0.82

DFT total energy in eV per cell: -9.682
Formation energy (no corrections) in eV per atom: 1.4824
Calculated density in g/cm3: 4.1
Space-group type: No. 221
E above lowest polymorph in meV/atom: 507